#A
A relaxed structure of BaHfIn2, computed with PBE.

a b c (Å): 7.730 7.730 7.730
angles (deg): 90.00 90.00 90.00
Space group Fm-3m (No. 225)
Unique sites:
Ba (0.000, 0.000, 0.000)
Hf (0.000, 0.000, 0.500)
In (0.250, 0.250, 0.250)

***

#B
A relaxed structure of BaHfIn2, computed with PBE.

a b c (Å): 5.520 5.520 19.866
angles (deg): 90.00 90.00 90.00
Space group I-42d (No. 122)
Unique sites:
Ba (0.000, 0.000, 0.000)
Hf (0.000, 0.000, 0.500)
In (0.122, 0.250, 0.625)

***

Compare the structures above. Which one is the most stable? #A is.